Entry 1:
Entry from the Open Quantum Materials Database: Na4AgBi2Au after structural relaxation (PBE).

Summary:
- Calculated density: 6.29 g/cm3

abc: 7.8715 9.3858 5.8225
angles: 90.00 91.04 90.00
Last column: nearest neighbours and their distance in Å.
Space group C2/m (No. 12)
Inequivalent atoms, fractional coordinates:
Na 0.1626 0.1836 0.2430 [8 per cell]  4 Bi 3.18-3.39, 3 Na 3.41-3.50, 1 Ag 3.48, 2 Au 3.49-3.52
Ag 0.0000 0.5000 0.5000 [2 per cell]  2 Bi 2.83, 2 Au 2.91
Bi 0.1923 0.0000 0.7442 [4 per cell]  1 Au 2.82, 1 Ag 2.83
Au 0.0000 0.5000 0.0000 [2 per cell]  2 Bi 2.82, 2 Ag 2.91


Entry 2:
Entry from the Open Quantum Materials Database: MgCdCoS3 after structural relaxation (PBE).

Summary:
- Calculated density: 3.98 g/cm3

abc: 3.4064 14.3314 9.9694
angles: 90.00 90.00 90.00
Last column: nearest neighbours and their distance in Å.
Space group Cmcm (No. 63)
Inequivalent atoms, fractional coordinates:
Mg 0.0000 0.1783 0.2500 [4 per cell]  2 S 2.44
Cd 0.0000 0.4342 0.2500 [4 per cell]  4 S 2.57-2.76
Co 0.0000 0.0000 0.0000 [4 per cell]  4 S 2.23
S 0.0000 0.2001 0.7500 [4 per cell]  2 Mg 2.44, 2 Cd 2.57
S 0.0000 0.4154 0.5778 [8 per cell]  2 Co 2.23


Entry 3:
Entry from the Open Quantum Materials Database: HfHgPd after structural relaxation (PBE).

Summary:
- Calculated density: 14.32 g/cm3

abc: 3.5459 3.5459 8.9543
angles: 90.00 90.00 90.00
Last column: nearest neighbours and their distance in Å.
Space group I4mm (No. 107)
Inequivalent atoms, fractional coordinates:
Hf 0.0000 0.0000 0.0000 [2 per cell]  5 Pd 2.89-3.05, 5 Hg 2.91-2.96
Hg 0.0000 0.0000 0.6755 [2 per cell]  5 Hf 2.91-2.96, 5 Pd 2.91-3.00
Pd 0.0000 0.0000 0.3404 [2 per cell]  5 Hf 2.89-3.05, 5 Hg 2.91-3.00


Entry 4:
Entry from the Open Quantum Materials Database: TmBPO after structural relaxation (PBE).

Summary:
- Calculated density: 6.09 g/cm3

abc: 3.3624 6.5332 5.6303
angles: 90.00 90.00 90.00
Last column: nearest neighbours and their distance in Å.
Space group Pmc2_1 (No. 26)
Inequivalent atoms, fractional coordinates:
Tm 0.0000 0.2136 0.0000 [2 per cell]  2 O 2.16
B 0.5000 0.3672 0.4919 [2 per cell]  1 O 1.38
P 0.0000 0.2080 0.4986 [2 per cell]  2 B 1.98
O 0.5000 0.4215 0.9916 [2 per cell]  1 B 1.38


Entry 5:
Entry from the Open Quantum Materials Database: PrYGe2 after structural relaxation (PBE).

Summary:
- Calculated density: 5.68 g/cm3

abc: 4.2834 18.7749 5.4570
angles: 90.00 90.00 90.00
Last column: nearest neighbours and their distance in Å.
Space group Cmcm (No. 63)
Inequivalent atoms, fractional coordinates:
Pr 0.0000 0.0789 0.2500 [4 per cell]  4 Ge 2.98-3.16
Y 0.0000 0.2958 0.2500 [4 per cell]  5 Ge 2.74-3.00
Ge 0.0000 0.3107 0.7500 [4 per cell]  4 Y 2.74-2.93, 2 Pr 2.98
Ge 0.0000 0.4554 0.2500 [4 per cell]  1 Y 3.00, 2 Pr 3.16, 2 Ge 3.20


Entry 6:
Entry from the Open Quantum Materials Database: MgTaAsW after structural relaxation (PBE).

Summary:
- Calculated density: 11.61 g/cm3

abc: 6.4264 6.4264 6.4264
angles: 90.00 90.00 90.00
Last column: nearest neighbours and their distance in Å.
Space group F-43m (No. 216)
Inequivalent atoms, fractional coordinates:
Mg 0.0000 0.0000 0.0000 [4 per cell]  4 As 2.78, 4 Ta 2.78
Ta 0.2500 0.2500 0.2500 [4 per cell]  4 W 2.78, 4 Mg 2.78
As 0.2500 0.2500 0.7500 [4 per cell]  4 W 2.78, 4 Mg 2.78
W 0.0000 0.0000 0.5000 [4 per cell]  4 Ta 2.78, 4 As 2.78


Entry 7:
Entry from the Open Quantum Materials Database: Pm7Pb3C2 after structural relaxation (PBE).

Summary:
- Calculated density: 8.19 g/cm3

abc: 5.0438 5.0438 26.4826
angles: 90.00 90.00 90.00
Last column: nearest neighbours and their distance in Å.
Space group I4/mmm (No. 139)
Inequivalent atoms, fractional coordinates:
Pm 0.0000 0.0000 0.0000 [2 per cell]  2 C 2.63
Pm 0.0000 0.0000 0.1945 [4 per cell]  1 C 2.53
Pm 0.0000 0.5000 0.0956 [8 per cell]  2 C 2.52
Pb 0.0000 0.0000 0.3192 [4 per cell]  9 Pm 3.30-3.59
Pb 0.0000 0.0000 0.5000 [2 per cell]  12 Pm 3.57
C 0.0000 0.0000 0.0992 [4 per cell]  6 Pm 2.52-2.63


Entry 8:
Entry from the Open Quantum Materials Database: FeReSiPd after structural relaxation (PBE).

Summary:
- Calculated density: 11.63 g/cm3

abc: 5.9914 5.9914 5.9914
angles: 90.00 90.00 90.00
Last column: nearest neighbours and their distance in Å.
Space group F-43m (No. 216)
Inequivalent atoms, fractional coordinates:
Fe 0.0000 0.0000 0.0000 [4 per cell]  4 Pd 2.59, 4 Si 2.59
Re 0.0000 0.0000 0.5000 [4 per cell]  4 Pd 2.59, 4 Si 2.59
Si 0.2500 0.2500 0.7500 [4 per cell]  4 Fe 2.59, 4 Re 2.59
Pd 0.2500 0.2500 0.2500 [4 per cell]  4 Fe 2.59, 4 Re 2.59


Entry 9:
Entry from the Open Quantum Materials Database: SmHoAg2Bi4 after structural relaxation (PBE).

Summary:
- Calculated density: 10.62 g/cm3

abc: 4.5475 4.5475 10.3394
angles: 90.00 90.00 90.00
Last column: nearest neighbours and their distance in Å.
Space group P4mm (No. 99)
Inequivalent atoms, fractional coordinates:
Sm 0.0000 0.0000 0.0000 [1 per cell]  8 Bi 3.29-3.46, 4 Ag 3.51
Ho 0.5000 0.5000 0.4965 [1 per cell]  8 Bi 3.27-3.40, 4 Ag 3.40
Ag 0.0000 0.5000 0.7412 [2 per cell]  4 Bi 2.98-3.00, 4 Ag 3.22
Bi 0.0000 0.0000 0.5543 [1 per cell]  4 Ag 2.98, 4 Ho 3.27
Bi 0.0000 0.5000 0.2518 [2 per cell]  4 Bi 3.22, 2 Ho 3.40, 2 Sm 3.46
Bi 0.5000 0.5000 0.9310 [1 per cell]  4 Ag 3.00, 4 Sm 3.29


Entry 10:
Entry from the Open Quantum Materials Database: Dy2NiAg after structural relaxation (PBE).

Summary:
- Calculated density: 9.15 g/cm3

abc: 4.5380 5.5761 7.0494
angles: 90.00 90.00 90.00
Last column: nearest neighbours and their distance in Å.
Space group Pmc2_1 (No. 26)
Inequivalent atoms, fractional coordinates:
Dy 0.0000 0.0991 0.0000 [2 per cell]  3 Ag 2.95-3.02, 4 Ni 3.00
Dy 0.5000 0.3680 0.6364 [2 per cell]  3 Ni 2.86-3.06, 4 Ag 3.03-3.04
Ni 0.5000 0.1131 0.2785 [2 per cell]  2 Ag 2.80, 7 Dy 2.86-3.06
Ag 0.0000 0.3946 0.3493 [2 per cell]  2 Ni 2.80, 7 Dy 2.95-3.04


Entry 11:
Entry from the Open Quantum Materials Database: InOsPd2 after structural relaxation (PBE).

Summary:
- Calculated density: 13.03 g/cm3

abc: 4.5473 4.5473 6.3825
angles: 90.00 90.00 90.00
Last column: nearest neighbours and their distance in Å.
Space group I4/mmm (No. 139)
Inequivalent atoms, fractional coordinates:
In 0.0000 0.0000 0.0000 [2 per cell]  8 Pd 2.78
Os 0.0000 0.0000 0.5000 [2 per cell]  8 Pd 2.78
Pd 0.0000 0.5000 0.2500 [4 per cell]  4 In 2.78, 4 Os 2.78


Entry 12:
Entry from the Open Quantum Materials Database: DyTlSnSe3 after structural relaxation (PBE).

Summary:
- Calculated density: 6.36 g/cm3

abc: 4.1133 15.8160 11.5918
angles: 90.00 90.00 90.00
Last column: nearest neighbours and their distance in Å.
Space group Cmcm (No. 63)
Inequivalent atoms, fractional coordinates:
Dy 0.0000 0.0000 0.0000 [4 per cell]  6 Se 2.85-2.90
Tl 0.0000 0.3063 0.2500 [4 per cell]  2 Se 3.07
Sn 0.0000 0.3732 0.7500 [4 per cell]  4 Se 2.79-2.92
Se 0.0000 0.0072 0.2500 [4 per cell]  2 Sn 2.79, 2 Dy 2.90
Se 0.0000 0.3751 0.0020 [8 per cell]  2 Dy 2.85, 1 Sn 2.92, 1 Tl 3.07


Entry 13:
Entry from the Open Quantum Materials Database: Rb2CuBiCl6 after structural relaxation (PBE).

Summary:
- Calculated density: 3.90 g/cm3

abc: 7.2864 7.3219 12.7299
angles: 90.00 124.53 90.00
Last column: nearest neighbours and their distance in Å.
Space group P2_1/c (No. 14)
Inequivalent atoms, fractional coordinates:
Rb 0.2417 0.0333 0.2487 [4 per cell]  8 Cl 3.35-3.62
Cu 0.0000 0.0000 0.5000 [2 per cell]  6 Cl 2.50-2.55
Bi 0.5000 0.0000 0.0000 [2 per cell]  6 Cl 2.74
Cl 0.1782 0.2266 0.9746 [4 per cell]  1 Cu 2.50, 1 Bi 2.74
Cl 0.2492 0.7036 0.9759 [4 per cell]  1 Cu 2.50, 1 Bi 2.74
Cl 0.2893 0.0016 0.7410 [4 per cell]  1 Cu 2.55, 1 Bi 2.74


Entry 14:
Entry from the Open Quantum Materials Database: UGaW after structural relaxation (PBE).

Summary:
- Calculated density: 12.99 g/cm3

abc: 6.3106 6.3106 6.3106
angles: 90.00 90.00 90.00
Last column: nearest neighbours and their distance in Å.
Space group F-43m (No. 216)
Inequivalent atoms, fractional coordinates:
U 0.0000 0.0000 0.0000 [4 per cell]  4 Ga 2.73
Ga 0.2500 0.2500 0.2500 [4 per cell]  4 W 2.73, 4 U 2.73
W 0.0000 0.0000 0.5000 [4 per cell]  4 Ga 2.73


Entry 15:
Entry from the Open Quantum Materials Database: TaAlCuOs after structural relaxation (PBE).

Summary:
- Calculated density: 12.94 g/cm3

abc: 6.1891 6.1891 6.1891
angles: 90.00 90.00 90.00
Last column: nearest neighbours and their distance in Å.
Space group F-43m (No. 216)
Inequivalent atoms, fractional coordinates:
Ta 0.0000 0.0000 0.0000 [4 per cell]  4 Al 2.68, 4 Os 2.68
Al 0.2500 0.2500 0.2500 [4 per cell]  4 Ta 2.68, 4 Cu 2.68
Cu 0.0000 0.0000 0.5000 [4 per cell]  4 Os 2.68, 4 Al 2.68
Os 0.2500 0.2500 0.7500 [4 per cell]  4 Ta 2.68, 4 Cu 2.68


Entry 16:
Entry from the Open Quantum Materials Database: Sm2Y2CBr2Cl3 after structural relaxation (PBE).

Summary:
- Calculated density: 4.89 g/cm3

abc: 17.7886 3.7754 7.8695
angles: 90.00 103.60 90.00
Last column: nearest neighbours and their distance in Å.
Space group C2/m (No. 12)
Inequivalent atoms, fractional coordinates:
Sm 0.1429 0.0000 0.0829 [4 per cell]  1 C 2.47
Y 0.0006 0.5000 0.7901 [4 per cell]  2 C 2.51, 1 Cl 2.75
C 0.0000 0.0000 0.0000 [2 per cell]  2 Sm 2.47, 4 Y 2.51
Br 0.1691 0.5000 0.8134 [4 per cell]  3 Sm 2.96-3.25, 1 Y 2.96
Cl 0.0000 0.0000 0.5000 [2 per cell]  4 Y 2.96
Cl 0.1562 0.5000 0.3479 [4 per cell]  1 Y 2.75, 2 Sm 2.78


Entry 17:
Entry from the Open Quantum Materials Database: Zn2As after structural relaxation (PBE).

Summary:
- Calculated density: 6.54 g/cm3

abc: 3.2017 12.7712 5.1078
angles: 90.00 90.00 90.00
Last column: nearest neighbours and their distance in Å.
Space group Cmcm (No. 63)
Inequivalent atoms, fractional coordinates:
Zn 0.0000 0.0400 0.2500 [4 per cell]  4 Zn 2.62-2.75, 2 As 2.71
Zn 0.0000 0.2971 0.7500 [4 per cell]  2 Zn 2.62, 4 As 2.66-2.71
As 0.0000 0.3689 0.2500 [4 per cell]  6 Zn 2.66-2.71


Across the entries above, total energy takes the values -44.4; -97.9; -33.3; -54.0; -91.6; -118.7; -136.8; -123.7; -34.9; -38.0; -46.6; -108.5; -67.0; -99.4; -123.0; -112.9; -27.4 eV/cell, respectively.